No. 1
DFT (PBE) results for an optimized crystal structure of Nd6Dy2Er3Sc.

Calculated values
The energy relative to the elements is 27 kJ/mol of formula units. The volume is 32.27 Å³/atom. For the calculated total energy, the calculation gives -57.5 eV/f.u.

a b c (Å): 6.2247 10.7794 11.7259
angles (deg): 90.00 100.17 90.00
Space group C2/m (No. 12)
Symmetry-distinct sites (fractional):
Nd 0.2482 0.0000 0.2514
Nd 0.2478 0.1652 0.7483
Dy 0.0000 0.3333 0.5000
Er 0.0000 0.1666 0.0000
Er 0.0000 0.5000 0.0000
Sc 0.0000 0.0000 0.5000

No. 2
DFT (PBE) results for an optimized crystal structure of NdDyEr3Sc.

Calculated values
The energy relative to the elements is 23 kJ/mol of formula units. The volume is 30.39 Å³/atom. For the calculated total energy, the calculation gives -29.2 eV/f.u.

a b c (Å): 4.9505 14.8437 9.9252
angles (deg): 90.00 90.00 90.00
Space group Cmcm (No. 63)
Symmetry-distinct sites (fractional):
Nd 0.0000 0.0022 0.2500
Dy 0.0000 0.5000 0.0000
Er 0.0000 0.1683 0.0002
Er 0.0000 0.3301 0.2500
Sc 0.0000 0.3313 0.7500

No. 3
DFT (PBE) results for an optimized crystal structure of NdDy2ErSc4.

Calculated values
The energy relative to the elements is 332 kJ/mol of formula units. The volume is 29.18 Å³/atom. For the calculated total energy, the calculation gives -40.4 eV/f.u.

a b c (Å): 13.0427 12.6768 6.5218
angles (deg): 90.00 120.00 90.00
Space group C2/c (No. 15)
Symmetry-distinct sites (fractional):
Nd 0.2500 0.2500 0.0000
Dy 0.0000 0.0000 0.0000
Dy 0.2500 0.2500 0.5000
Er 0.0000 0.5000 0.0000
Sc 0.0000 0.2510 0.0009
Sc 0.2491 0.4997 0.4976

No. 4
DFT (PBE) results for an optimized crystal structure of Nd4DyEr2Sc.

Calculated values
The energy relative to the elements is 22 kJ/mol of formula units. The volume is 32.06 Å³/atom. For the calculated total energy, the calculation gives -38.9 eV/f.u.

a b c (Å): 5.0926 5.1052 9.8651
angles (deg): 90.00 90.00 90.00
Space group Pmmm (No. 47)
Symmetry-distinct sites (fractional):
Nd 0.0000 0.0000 0.2446
Nd 0.5000 0.5000 0.2447
Dy 0.0000 0.5000 0.5000
Er 0.0000 0.5000 0.0000
Er 0.5000 0.0000 0.5000
Sc 0.5000 0.0000 0.0000

No. 5
DFT (PBE) results for an optimized crystal structure of Nd2DyEr2Sc2.

Calculated values
The energy relative to the elements is 73 kJ/mol of formula units. The volume is 30.59 Å³/atom. For the calculated total energy, the calculation gives -35.2 eV/f.u.

a b c (Å): 11.3872 3.4304 11.5785
angles (deg): 90.00 108.75 90.00
Space group C2/m (No. 12)
Symmetry-distinct sites (fractional):
Nd 0.1722 0.0000 0.0897
Dy 0.0000 0.5000 0.5000
Er 0.0450 0.0000 0.7661
Sc 0.2289 0.5000 0.3702

No. 6
DFT (PBE) results for an optimized crystal structure of Nd4Dy2ErSc.

Calculated values
The energy relative to the elements is 22 kJ/mol of formula units. The volume is 32.18 Å³/atom. For the calculated total energy, the calculation gives -38.9 eV/f.u.

a b c (Å): 5.0952 5.1072 9.8921
angles (deg): 90.00 90.00 90.00
Space group Pmmm (No. 47)
Symmetry-distinct sites (fractional):
Nd 0.0000 0.0000 0.2452
Nd 0.5000 0.5000 0.2457
Dy 0.0000 0.5000 0.0000
Dy 0.5000 0.0000 0.5000
Er 0.0000 0.5000 0.5000
Sc 0.5000 0.0000 0.0000

No. 7
DFT (PBE) results for an optimized crystal structure of Nd6DyEr2Sc.

Calculated values
The energy relative to the elements is 123 kJ/mol of formula units. The volume is 33.12 Å³/atom. For the calculated total energy, the calculation gives -47.4 eV/f.u.

a b c (Å): 9.2689 15.2955 9.4029
angles (deg): 90.00 96.37 90.00
Space group C2/c (No. 15)
Symmetry-distinct sites (fractional):
Nd 0.0551 0.1753 0.4482
Nd 0.0975 0.3877 0.6123
Nd 0.2256 0.2162 0.8047
Dy 0.0000 0.0273 0.7500
Er 0.2459 0.4516 0.9513
Sc 0.0000 0.4213 0.2500

No. 8
DFT (PBE) results for an optimized crystal structure of Nd3Dy6Er2Sc.

Calculated values
The energy relative to the elements is 35 kJ/mol of formula units. The volume is 31.61 Å³/atom. For the calculated total energy, the calculation gives -57.0 eV/f.u.

a b c (Å): 6.1555 10.6584 11.7452
angles (deg): 90.00 100.05 90.00
Space group C2/m (No. 12)
Symmetry-distinct sites (fractional):
Nd 0.0000 0.0000 0.0000
Nd 0.0000 0.3335 0.0000
Dy 0.2460 0.3345 0.7429
Dy 0.2496 0.0000 0.7431
Er 0.0000 0.1665 0.5000
Sc 0.0000 0.5000 0.5000

Question: energy relative to the elements of number 7 (Nd6DyEr2Sc)?
Answer: 123 kJ/mol of formula units

Copy entry 6 word for word.
DFT (PBE) results for an optimized crystal structure of Nd4Dy2ErSc.

Calculated values
The energy relative to the elements is 22 kJ/mol of formula units. The volume is 32.18 Å³/atom. For the calculated total energy, the calculation gives -38.9 eV/f.u.

a b c (Å): 5.0952 5.1072 9.8921
angles (deg): 90.00 90.00 90.00
Space group Pmmm (No. 47)
Symmetry-distinct sites (fractional):
Nd 0.0000 0.0000 0.2452
Nd 0.5000 0.5000 0.2457
Dy 0.0000 0.5000 0.0000
Dy 0.5000 0.0000 0.5000
Er 0.0000 0.5000 0.5000
Sc 0.5000 0.0000 0.0000

Question: Look up the calculated total energy of the first one.
Answer: -57.5 eV/f.u.